# PBE YMgAgHg2, relaxed
data_YMgAgHg2
_chemical_formula_sum 'Y1 Mg1 Ag1 Hg2'
_cell_length_a 4.989
_cell_length_b 4.989
_cell_length_c 5.743
_cell_angle_alpha 90.00
_cell_angle_beta 90.00
_cell_angle_gamma 120.00
_space_group_name_H-M_alt 'P 1'
_space_group_IT_number 1
_space_group_name_Hall 'P 1'
loop_
_atom_site_label
_atom_site_fract_x
_atom_site_fract_y
_atom_site_fract_z
Y1 0.000 0.000 0.000
Mg1 0.333 0.667 0.624
Ag1 0.667 0.333 0.296
Hg1 0.333 0.667 0.148
Hg2 0.667 0.333 0.781
# * magnetic moment: 0.000 μB/atom
# * ΔH_f (0 K): -0.1828 eV/atom
# * density: 8.347 Mg/m³
# * DFT total energy: -2.486 eV/atom



# PBE Cs6Na5, relaxed
data_Cs6Na5
_chemical_formula_sum 'Cs6 Na5'
_cell_length_a 12.733
_cell_length_b 12.733
_cell_length_c 12.733
_cell_angle_alpha 146.43
_cell_angle_beta 131.94
_cell_angle_gamma 59.90
_space_group_name_H-M_alt 'P 1'
_space_group_IT_number 1
_space_group_name_Hall 'P 1'
loop_
_atom_site_label
_atom_site_fract_x
_atom_site_fract_y
_atom_site_fract_z
Cs1 0.084 0.335 0.748
Cs2 0.248 0.000 0.248
Cs3 0.413 0.665 0.748
Cs4 0.587 0.335 0.252
Cs5 0.752 0.000 0.752
Cs6 0.916 0.665 0.252
Na1 0.174 0.174 0.000
Na2 0.331 0.831 0.500
Na3 0.500 0.500 0.000
Na4 0.669 0.169 0.500
Na5 0.826 0.826 0.000
# * magnetic moment: 0.000 μB/atom
# * ΔH_f (0 K): 0.0317 eV/atom
# * density: 1.801 Mg/m³
# * DFT total energy: -1.033 eV/atom



# PBE CeMgZn2Au4, relaxed
data_CeMgZn2Au4
_chemical_formula_sum 'Ce1 Mg1 Zn2 Au4'
_cell_length_a 8.985
_cell_length_b 8.985
_cell_length_c 8.985
_cell_angle_alpha 29.48
_cell_angle_beta 29.48
_cell_angle_gamma 29.48
_space_group_name_H-M_alt 'P 1'
_space_group_IT_number 1
_space_group_name_Hall 'P 1'
loop_
_atom_site_label
_atom_site_fract_x
_atom_site_fract_y
_atom_site_fract_z
Ce1 0.000 0.000 0.000
Mg1 0.500 0.500 0.500
Zn1 0.243 0.243 0.243
Zn2 0.757 0.757 0.757
Au1 0.128 0.128 0.128
Au2 0.394 0.394 0.394
Au3 0.606 0.606 0.606
Au4 0.872 0.872 0.872
# * magnetic moment: 0.103 μB/atom
# * ΔH_f (0 K): -0.4774 eV/atom
# * density: 11.571 Mg/m³
# * DFT total energy: -3.376 eV/atom



# PBE CdIrSe2, relaxed
data_CdIrSe2
_chemical_formula_sum 'Cd1 Ir1 Se2'
_cell_length_a 5.390
_cell_length_b 5.390
_cell_length_c 5.390
_cell_angle_alpha 135.88
_cell_angle_beta 135.88
_cell_angle_gamma 64.16
_space_group_name_H-M_alt 'P 1'
_space_group_IT_number 1
_space_group_name_Hall 'P 1'
loop_
_atom_site_label
_atom_site_fract_x
_atom_site_fract_y
_atom_site_fract_z
Cd1 0.000 0.000 0.000
Ir1 0.250 0.750 0.500
Se1 0.500 0.500 0.000
Se2 0.750 0.250 0.500
# * magnetic moment: 0.000 μB/atom
# * formation energy without anion corrections: 496 meV per atom
# * density: 10.264 Mg/m³
# * DFT total energy: -3.691 eV/atom



# PBE LaTmCdIn, relaxed
data_LaTmCdIn
_chemical_formula_sum 'La1 Tm1 Cd1 In1'
_cell_length_a 5.429
_cell_length_b 5.429
_cell_length_c 5.429
_cell_angle_alpha 60.00
_cell_angle_beta 60.00
_cell_angle_gamma 60.00
_space_group_name_H-M_alt 'P 1'
_space_group_IT_number 1
_space_group_name_Hall 'P 1'
loop_
_atom_site_label
_atom_site_fract_x
_atom_site_fract_y
_atom_site_fract_z
La1 0.000 0.000 0.000
Tm1 0.500 0.500 0.500
Cd1 0.250 0.250 0.250
In1 0.750 0.750 0.750
# * magnetic moment: 0.000 μB/atom
# * ΔH_f (0 K): -0.3971 eV/atom
# * density: 7.854 Mg/m³
# * DFT total energy: -3.660 eV/atom



# PBE AcNdSb2Rh5, relaxed
data_AcNdSb2Rh5
_chemical_formula_sum 'Ac1 Nd1 Sb2 Rh5'
_cell_length_a 4.542
_cell_length_b 4.542
_cell_length_c 9.147
_cell_angle_alpha 90.00
_cell_angle_beta 90.00
_cell_angle_gamma 90.00
_space_group_name_H-M_alt 'P 1'
_space_group_IT_number 1
_space_group_name_Hall 'P 1'
loop_
_atom_site_label
_atom_site_fract_x
_atom_site_fract_y
_atom_site_fract_z
Ac1 0.000 0.000 0.000
Nd1 0.000 0.000 0.500
Sb1 0.500 0.500 0.342
Sb2 0.500 0.500 0.658
Rh1 0.000 0.500 0.223
Rh2 0.000 0.500 0.777
Rh3 0.500 0.000 0.223
Rh4 0.500 0.000 0.777
Rh5 0.500 0.500 0.000
# * magnetic moment: 0.000 μB/atom
# * formation energy without anion corrections: -529 meV per atom
# * density: 9.937 Mg/m³
# * DFT total energy: -6.515 eV/atom



# PBE Pm2Cd5Hg, relaxed
data_Pm2Cd5Hg
_chemical_formula_sum 'Pm4 Cd10 Hg2'
_cell_length_a 6.666
_cell_length_b 13.335
_cell_length_c 4.581
_cell_angle_alpha 90.00
_cell_angle_beta 90.00
_cell_angle_gamma 90.00
_space_group_name_H-M_alt 'P 1'
_space_group_IT_number 1
_space_group_name_Hall 'P 1'
loop_
_atom_site_label
_atom_site_fract_x
_atom_site_fract_y
_atom_site_fract_z
Pm1 0.235 0.121 0.000
Pm2 0.265 0.621 0.000
Pm3 0.735 0.379 0.000
Pm4 0.765 0.879 0.000
Cd1 0.000 0.500 0.500
Cd2 0.013 0.747 0.500
Cd3 0.235 0.370 0.000
Cd4 0.265 0.870 0.000
Cd5 0.487 0.247 0.500
Cd6 0.500 0.000 0.500
Cd7 0.513 0.753 0.500
Cd8 0.735 0.130 0.000
Cd9 0.765 0.630 0.000
Cd10 0.987 0.253 0.500
Hg1 0.000 0.000 0.500
Hg2 0.500 0.500 0.500
# * magnetic moment: 0.000 μB/atom
# * E above lowest polymorph: 0 meV/atom
# * ΔH_f (0 K): -0.2734 eV/atom
# * density: 8.586 Mg/m³
# * DFT total energy: -2.071 eV/atom



# PBE PuScAg2Se4, relaxed
data_PuScAg2Se4
_chemical_formula_sum 'Pu1 Sc1 Ag2 Se4'
_cell_length_a 6.915
_cell_length_b 4.118
_cell_length_c 7.134
_cell_angle_alpha 90.00
_cell_angle_beta 112.28
_cell_angle_gamma 90.00
_space_group_name_H-M_alt 'P 1'
_space_group_IT_number 1
_space_group_name_Hall 'P 1'
loop_
_atom_site_label
_atom_site_fract_x
_atom_site_fract_y
_atom_site_fract_z
Pu1 0.000 0.000 0.000
Sc1 0.000 0.500 0.500
Ag1 0.500 0.000 0.500
Ag2 0.500 0.500 0.000
Se1 0.239 0.000 0.741
Se2 0.240 0.500 0.269
Se3 0.760 0.500 0.731
Se4 0.761 0.000 0.259
# * magnetic moment: 0.625 μB/atom
# * formation energy without anion corrections: -955 meV per atom
# * density: 7.248 Mg/m³
# * DFT total energy: -5.993 eV/atom



# PBE SrBiC3, relaxed
data_SrBiC3
_chemical_formula_sum 'Sr1 Bi1 C3'
_cell_length_a 4.637
_cell_length_b 4.637
_cell_length_c 4.637
_cell_angle_alpha 90.00
_cell_angle_beta 90.00
_cell_angle_gamma 90.00
_space_group_name_H-M_alt 'P 1'
_space_group_IT_number 1
_space_group_name_Hall 'P 1'
loop_
_atom_site_label
_atom_site_fract_x
_atom_site_fract_y
_atom_site_fract_z
Sr1 0.000 0.000 0.000
Bi1 0.500 0.500 0.500
C1 0.000 0.000 0.500
C2 0.000 0.500 0.000
C3 0.500 0.000 0.000
# * magnetic moment: 0.251 μB/atom
# * E above lowest polymorph: 826 meV/atom
# * ΔH_f (0 K): 3.1849 eV/atom
# * density: 5.541 Mg/m³
# * DFT total energy: -3.462 eV/atom



# PBE NaPb2W, relaxed
data_NaPb2W
_chemical_formula_sum 'Na2 Pb4 W2'
_cell_length_a 9.525
_cell_length_b 9.525
_cell_length_c 9.525
_cell_angle_alpha 143.24
_cell_angle_beta 143.24
_cell_angle_gamma 52.97
_space_group_name_H-M_alt 'P 1'
_space_group_IT_number 1
_space_group_name_Hall 'P 1'
loop_
_atom_site_label
_atom_site_fract_x
_atom_site_fract_y
_atom_site_fract_z
Na1 0.000 0.000 0.000
Na2 0.750 0.250 0.500
Pb1 0.265 0.625 0.140
Pb2 0.375 0.515 0.640
Pb3 0.485 0.125 0.860
Pb4 0.875 0.735 0.360
W1 0.250 0.750 0.500
W2 0.500 0.500 0.000
# * magnetic moment: 0.250 μB/atom
# * E above lowest polymorph: 277 meV/atom
# * ΔH_f (0 K): 1.0895 eV/atom
# * density: 6.706 Mg/m³
# * DFT total energy: -4.333 eV/atom



The highest magnetic moment belongs to which entry? PuScAg2Se4



Repeat the sixth record exactly.
# PBE AcNdSb2Rh5, relaxed
data_AcNdSb2Rh5
_chemical_formula_sum 'Ac1 Nd1 Sb2 Rh5'
_cell_length_a 4.542
_cell_length_b 4.542
_cell_length_c 9.147
_cell_angle_alpha 90.00
_cell_angle_beta 90.00
_cell_angle_gamma 90.00
_space_group_name_H-M_alt 'P 1'
_space_group_IT_number 1
_space_group_name_Hall 'P 1'
loop_
_atom_site_label
_atom_site_fract_x
_atom_site_fract_y
_atom_site_fract_z
Ac1 0.000 0.000 0.000
Nd1 0.000 0.000 0.500
Sb1 0.500 0.500 0.342
Sb2 0.500 0.500 0.658
Rh1 0.000 0.500 0.223
Rh2 0.000 0.500 0.777
Rh3 0.500 0.000 0.223
Rh4 0.500 0.000 0.777
Rh5 0.500 0.500 0.000
# * magnetic moment: 0.000 μB/atom
# * formation energy without anion corrections: -529 meV per atom
# * density: 9.937 Mg/m³
# * DFT total energy: -6.515 eV/atom



Among the records above, which one has the lowest DFT total energy? AcNdSb2Rh5



Among the records above, which one has the highest magnetic moment? PuScAg2Se4